Record 1
This record from Alexandria via LeMat-Bulk describes a relaxed PrCu2Ni6 crystal. The functional is PBE. Values from VASP.

Computed properties:
Space-group type   Immm, No. 71
Electronic total energy   -46.41 eV/cell

Quantum ESPRESSO input file:
```
&SYSTEM
  ibrav = 0, nat = 9, ntyp = 3
/
ATOMIC_SPECIES
Pr 140.91 Pr.upf
Cu 63.55 Cu.upf
Ni 58.69 Ni.upf
CELL_PARAMETERS angstrom
-2.020 3.090 5.283
2.020 -3.090 5.283
2.020 3.090 -5.283
ATOMIC_POSITIONS angstrom
Pr 0.000 0.000 0.000
Cu 2.020 0.000 4.005
Cu 0.000 3.090 1.278
Ni 2.020 1.919 -2.299
Ni 2.020 1.960 0.000
Ni 0.000 1.170 2.984
Ni 2.020 1.919 2.299
Ni 0.000 1.129 5.283
Ni 0.000 1.170 7.581
```

---

Record 2
This record from Alexandria via LeMat-Bulk describes a relaxed BaSr2Br crystal. The functional is PBE. Values from VASP.

Computed properties:
Space-group type   Fm-3m, No. 225
Formation energy (no corrections)   -0.8 eV/f.u.
Energy relative to the lowest polymorph listed for this composition   0.544 eV/atom

Quantum ESPRESSO input file:
```
&SYSTEM
  ibrav = 0, nat = 16, ntyp = 3
/
ATOMIC_SPECIES
Ba 137.33 Ba.upf
Sr 87.62 Sr.upf
Br 79.90 Br.upf
CELL_PARAMETERS angstrom
9.463 0.000 0.000
0.000 9.463 0.000
0.000 0.000 9.463
ATOMIC_POSITIONS angstrom
Ba 0.000 0.000 0.000
Ba 0.000 4.731 4.731
Ba 4.731 0.000 4.731
Ba 4.731 4.731 0.000
Sr 2.366 2.366 2.366
Sr 2.366 2.366 7.097
Sr 2.366 7.097 2.366
Sr 2.366 7.097 7.097
Sr 7.097 2.366 2.366
Sr 7.097 2.366 7.097
Sr 7.097 7.097 2.366
Sr 7.097 7.097 7.097
Br 0.000 0.000 4.731
Br 0.000 4.731 0.000
Br 4.731 0.000 0.000
Br 4.731 4.731 4.731
```

---

Record 3
This record from Alexandria via LeMat-Bulk describes a relaxed Ba4TlCd crystal. The functional is PBE. Values from VASP.

Computed properties:
Space-group type   P4/mmm, No. 123
Energy relative to the lowest polymorph listed for this composition   0.000 eV/atom

Quantum ESPRESSO input file:
```
&SYSTEM
  ibrav = 0, nat = 6, ntyp = 3
/
ATOMIC_SPECIES
Ba 137.33 Ba.upf
Tl 204.38 Tl.upf
Cd 112.41 Cd.upf
CELL_PARAMETERS angstrom
4.321 0.000 0.000
0.000 4.321 0.000
0.000 0.000 15.309
ATOMIC_POSITIONS angstrom
Ba 0.000 0.000 2.014
Ba 0.000 0.000 13.295
Ba 2.160 2.160 5.617
Ba 2.160 2.160 9.692
Tl 0.000 0.000 7.654
Cd 2.160 2.160 0.000
```

---

Record 4
This record from Alexandria via LeMat-Bulk describes a relaxed SrLiMg2Sn2 crystal. The functional is PBE. Values from VASP.

Computed properties:
Space-group type   P-3m1, No. 164
Electronic total energy   -17.29 eV/cell

Quantum ESPRESSO input file:
```
&SYSTEM
  ibrav = 0, nat = 6, ntyp = 4
/
ATOMIC_SPECIES
Sr 87.62 Sr.upf
Li 6.94 Li.upf
Mg 24.30 Mg.upf
Sn 118.71 Sn.upf
CELL_PARAMETERS angstrom
4.870 0.000 0.000
-2.435 4.217 0.000
0.000 0.000 7.732
ATOMIC_POSITIONS angstrom
Sr 0.000 0.000 0.000
Li 0.000 0.000 3.866
Mg 0.000 2.812 5.039
Mg 2.435 1.406 2.693
Sn 0.000 2.812 1.980
Sn 2.435 1.406 5.752
```

---

Record 5
This record from Alexandria via LeMat-Bulk describes a relaxed InAgTe2 crystal. The functional is PBE. Values from VASP.

Computed properties:
Space-group type   F-43m, No. 216
Formation energy (no corrections)   0.8 eV/f.u.

Quantum ESPRESSO input file:
```
&SYSTEM
  ibrav = 0, nat = 16, ntyp = 3
/
ATOMIC_SPECIES
In 114.82 In.upf
Ag 107.87 Ag.upf
Te 127.60 Te.upf
CELL_PARAMETERS angstrom
7.524 0.000 0.000
0.000 7.524 0.000
0.000 0.000 7.524
ATOMIC_POSITIONS angstrom
In 0.000 0.000 0.000
In 0.000 3.762 3.762
In 3.762 0.000 3.762
In 3.762 3.762 0.000
Ag 1.881 1.881 1.881
Ag 1.881 5.643 5.643
Ag 5.643 1.881 5.643
Ag 5.643 5.643 1.881
Te 0.000 0.000 3.762
Te 0.000 3.762 0.000
Te 1.881 1.881 5.643
Te 1.881 5.643 1.881
Te 3.762 0.000 0.000
Te 3.762 3.762 3.762
Te 5.643 1.881 1.881
Te 5.643 5.643 5.643
```

---

Record 6
This record from Alexandria via LeMat-Bulk describes a relaxed NaMgGaAg crystal. The functional is PBE. Values from VASP.

Computed properties:
Space-group type   F-43m, No. 216
Electronic total energy   -35.89 eV/cell

Quantum ESPRESSO input file:
```
&SYSTEM
  ibrav = 0, nat = 16, ntyp = 4
/
ATOMIC_SPECIES
Na 22.99 Na.upf
Mg 24.30 Mg.upf
Ga 69.72 Ga.upf
Ag 107.87 Ag.upf
CELL_PARAMETERS angstrom
6.796 0.000 0.000
0.000 6.796 0.000
0.000 0.000 6.796
ATOMIC_POSITIONS angstrom
Na 0.000 0.000 0.000
Na 0.000 3.398 3.398
Na 3.398 0.000 3.398
Na 3.398 3.398 0.000
Mg 1.699 1.699 1.699
Mg 1.699 5.097 5.097
Mg 5.097 1.699 5.097
Mg 5.097 5.097 1.699
Ga 0.000 0.000 3.398
Ga 0.000 3.398 0.000
Ga 3.398 0.000 0.000
Ga 3.398 3.398 3.398
Ag 1.699 1.699 5.097
Ag 1.699 5.097 1.699
Ag 5.097 1.699 1.699
Ag 5.097 5.097 5.097
```

---

The following total magnetic moment values (in μB per cell) correspond, in order, to the records above: 2.1; 0.0; 0.0; 0.0; 0.0; 0.0.